1.
A geometry-optimized Zr2CdTe structure, computed with PBEsol.

The energy is -0.22239 hartree per atom. As for the total magnetic moment: 0.0 μB/f.u. The calculation puts the formation energy from raw total energies at -0.326 eV/atom.

It has space group I4/mmm (No. 139), with a = 4.603 Å, b = 4.603 Å, c = 8.024 Å, α = 90.00°, β = 90.00° and γ = 90.00°. The distinct sites, in fractional coordinates, are Zr at (0.000, 0.500, 0.250), Cd at (0.000, 0.000, 0.000) and Te at (0.000, 0.000, 0.500).

***

2.
A geometry-optimized BaLi3Ti structure, computed with PBEsol.

The energy is -0.09526 hartree per atom. As for the total magnetic moment: 5.2 μB/f.u. The formation enthalpy at 0 K is 0.68 eV per atom.

It has space group Pm-3m (No. 221), with a = 5.352 Å, b = 5.352 Å, c = 5.352 Å, α = 90.00°, β = 90.00° and γ = 90.00°. The distinct sites, in fractional coordinates, are Ba at (0.000, 0.000, 0.000), Li at (0.000, 0.500, 0.500) and Ti at (0.500, 0.500, 0.500).

***

3.
A geometry-optimized KSbP structure, computed with PBEsol.

The energy is -0.11248 hartree per atom. As for the total magnetic moment: 0.0 μB/f.u. The calculation puts the formation energy from raw total energies at 0.767 eV/atom.

It has space group F-43m (No. 216), with a = 7.009 Å, b = 7.009 Å, c = 7.009 Å, α = 90.00°, β = 90.00° and γ = 90.00°. The distinct sites, in fractional coordinates, are K at (0.000, 0.000, 0.000), Sb at (0.250, 0.250, 0.750) and P at (0.250, 0.250, 0.250).

***

4.
A geometry-optimized Hf5Si3 structure, computed with PBEsol.

The energy is -0.35013 hartree per atom. As for the total magnetic moment: 0.0 μB/f.u. The calculation puts the formation energy from raw total energies at -0.808 eV/atom.

It has space group P6_3/mcm (No. 193), with a = 7.8124 Å, b = 7.8124 Å, c = 5.4325 Å, α = 90.00°, β = 90.00° and γ = 120.00°. The distinct sites, in fractional coordinates, are Hf at (0.0000, 0.2521, 0.2500), Hf at (0.3333, 0.6667, 0.0000) and Si at (0.0000, 0.3914, 0.7500).

***

5.
A geometry-optimized Ni2PdSe2 structure, computed with PBEsol.

The energy is -0.20167 hartree per atom. As for the total magnetic moment: 0.0 μB/f.u. The calculation puts the formation energy from raw total energies at -0.293 eV/atom. The energy relative to the lowest polymorph listed for this composition comes out at 0 meV per atom.

It has space group I4/mmm (No. 139), with a = 10.447 Å, b = 10.447 Å, c = 5.517 Å, α = 90.00°, β = 90.00° and γ = 90.00°. The distinct sites, in fractional coordinates, are Ni at (0.154, 0.346, 0.250), Pd at (0.000, 0.000, 0.000), Pd at (0.000, 0.000, 0.500), Pd at (0.000, 0.500, 0.000), Se at (0.000, 0.244, 0.000) and Se at (0.168, 0.168, 0.500).

***

6.
A geometry-optimized Zr2InOsCl structure, computed with PBEsol.

The energy is -0.24187 hartree per atom. As for the total magnetic moment: 0.0 μB/f.u. The calculation puts the formation energy from raw total energies at 0.496 eV/atom.

It has space group P4/mmm (No. 123), with a = 5.093 Å, b = 5.093 Å, c = 4.500 Å, α = 90.00°, β = 90.00° and γ = 90.00°. The distinct sites, in fractional coordinates, are Zr at (0.000, 0.500, 0.000), In at (0.000, 0.000, 0.500), Os at (0.500, 0.500, 0.000) and Cl at (0.500, 0.500, 0.500).

***

7.
A geometry-optimized Sc2TcAs structure, computed with PBEsol.

The energy is -0.28625 hartree per atom. As for the total magnetic moment: 0.0 μB/f.u. The formation enthalpy at 0 K is -0.39 eV per atom.

It has space group F-43m (No. 216), with a = 6.366 Å, b = 6.366 Å, c = 6.366 Å, α = 90.00°, β = 90.00° and γ = 90.00°. The distinct sites, in fractional coordinates, are Sc at (0.000, 0.000, 0.000), Sc at (0.250, 0.250, 0.250), Tc at (0.250, 0.250, 0.750) and As at (0.000, 0.000, 0.500).

***

8.
A geometry-optimized LaMgRh3 structure, computed with PBEsol.

The energy is -0.22270 hartree per atom. As for the total magnetic moment: 0.0 μB/f.u. The formation enthalpy at 0 K is 0.24 eV per atom.

It has space group Pm-3m (No. 221), with a = 4.563 Å, b = 4.563 Å, c = 4.563 Å, α = 90.00°, β = 90.00° and γ = 90.00°. The distinct sites, in fractional coordinates, are La at (0.000, 0.000, 0.000), Mg at (0.500, 0.500, 0.500) and Rh at (0.000, 0.500, 0.500).

***

9.
A geometry-optimized K2NaYCl6 structure, computed with PBEsol.

The energy is -0.15808 hartree per atom. As for the total magnetic moment: 0.0 μB/f.u. The calculation puts the formation energy from raw total energies at -2.048 eV/atom.

It has space group Fm-3m (No. 225), with a = 10.514 Å, b = 10.514 Å, c = 10.514 Å, α = 90.00°, β = 90.00° and γ = 90.00°. The distinct sites, in fractional coordinates, are K at (0.250, 0.250, 0.250), Na at (0.000, 0.000, 0.000), Y at (0.000, 0.000, 0.500) and Cl at (0.000, 0.000, 0.254).

***

10.
A geometry-optimized Co2PbBr structure, computed with PBEsol.

The energy is -0.17151 hartree per atom. As for the total magnetic moment: 2.5 μB/f.u. The calculation puts the formation energy from raw total energies at 0.669 eV/atom. The energy relative to the lowest polymorph listed for this composition comes out at 263 meV per atom.

It has space group P2/m (No. 10), with a = 4.160 Å, b = 3.188 Å, c = 5.425 Å, α = 90.00°, β = 110.59° and γ = 90.00°. The distinct sites, in fractional coordinates, are Co at (0.000, 0.000, 0.000), Co at (0.500, 0.500, 0.500), Pb at (0.000, 0.000, 0.500) and Br at (0.500, 0.500, 0.000).

***

11.
A geometry-optimized LiCrIn2 structure, computed with PBEsol.

The energy is -0.16491 hartree per atom. As for the total magnetic moment: 3.3 μB/f.u. The formation enthalpy at 0 K is 0.06 eV per atom.

It has space group P4/mmm (No. 123), with a = 4.614 Å, b = 4.614 Å, c = 3.327 Å, α = 90.00°, β = 90.00° and γ = 90.00°. The distinct sites, in fractional coordinates, are Li at (0.000, 0.000, 0.000), Cr at (0.500, 0.500, 0.000) and In at (0.000, 0.500, 0.500).

***

12.
A geometry-optimized Y2ScRe structure, computed with PBEsol.

The energy is -0.29735 hartree per atom. As for the total magnetic moment: 0.0 μB/f.u. The energy relative to the lowest polymorph listed for this composition comes out at 13 meV per atom. The formation enthalpy at 0 K is 0.30 eV per atom.

It has space group P2/m (No. 10), with a = 3.277 Å, b = 4.532 Å, c = 6.227 Å, α = 90.00°, β = 103.80° and γ = 90.00°. The distinct sites, in fractional coordinates, are Y at (0.096, 0.000, 0.275), Sc at (0.500, 0.500, 0.000) and Re at (0.500, 0.500, 0.500).

***

13.
A geometry-optimized InMoPb2 structure, computed with PBEsol.

The energy is -0.18340 hartree per atom. As for the total magnetic moment: 1.7 μB/f.u. The formation enthalpy at 0 K is 0.70 eV per atom.

It has space group C2/m (No. 12), with a = 6.338 Å, b = 8.557 Å, c = 3.378 Å, α = 90.00°, β = 92.15° and γ = 90.00°. The distinct sites, in fractional coordinates, are In at (0.000, 0.000, 0.000), Mo at (0.000, 0.500, 0.000) and Pb at (0.250, 0.250, 0.500).

***

14.
A geometry-optimized La2ZnPtPb structure, computed with PBEsol.

The energy is -0.17581 hartree per atom. As for the total magnetic moment: 0.0 μB/f.u. The formation enthalpy at 0 K is -0.14 eV per atom.

It has space group P4/mmm (No. 123), with a = 5.541 Å, b = 5.541 Å, c = 4.607 Å, α = 90.00°, β = 90.00° and γ = 90.00°. The distinct sites, in fractional coordinates, are La at (0.000, 0.500, 0.000), Zn at (0.000, 0.000, 0.000), Pt at (0.000, 0.000, 0.500) and Pb at (0.500, 0.500, 0.500).

***

15.
A geometry-optimized Tl2CdNi2 structure, computed with PBEsol.

The energy is -0.12153 hartree per atom. As for the total magnetic moment: 0.0 μB/f.u. The formation enthalpy at 0 K is 0.45 eV per atom.

It has space group I4/mmm (No. 139), with a = 4.170 Å, b = 4.170 Å, c = 11.152 Å, α = 90.00°, β = 90.00° and γ = 90.00°. The distinct sites, in fractional coordinates, are Tl at (0.000, 0.500, 0.250), Cd at (0.000, 0.000, 0.000) and Ni at (0.000, 0.000, 0.399).

***

16.
A geometry-optimized Li2CoOs structure, computed with PBEsol.

The energy is -0.18749 hartree per atom. As for the total magnetic moment: 0.6 μB/f.u. The energy relative to the lowest polymorph listed for this composition comes out at 685 meV per atom. The formation enthalpy at 0 K is 0.87 eV per atom.

It has space group I-42d (No. 122), with a = 6.417 Å, b = 6.417 Å, c = 4.634 Å, α = 90.00°, β = 90.00° and γ = 90.00°. The distinct sites, in fractional coordinates, are Li at (0.230, 0.250, 0.125), Co at (0.000, 0.000, 0.000) and Os at (0.000, 0.000, 0.500).

***

17.
A geometry-optimized SrAl2Br2 structure, computed with PBEsol.

The energy is -0.10974 hartree per atom. As for the total magnetic moment: 0.0 μB/f.u. The calculation puts the formation energy from raw total energies at -0.234 eV/atom.

It has space group I4/mmm (No. 139), with a = 4.867 Å, b = 4.867 Å, c = 12.283 Å, α = 90.00°, β = 90.00° and γ = 90.00°. The distinct sites, in fractional coordinates, are Sr at (0.000, 0.000, 0.000), Al at (0.000, 0.000, 0.388) and Br at (0.000, 0.500, 0.250).

***

18.
A geometry-optimized TlCd2 structure, computed with PBEsol.

The energy is -0.05896 hartree per atom. As for the total magnetic moment: 0.0 μB/f.u. The formation enthalpy at 0 K is 0.07 eV per atom.

It has space group Cm (No. 8), with a = 12.742 Å, b = 3.134 Å, c = 7.401 Å, α = 90.00°, β = 105.92° and γ = 90.00°. The distinct sites, in fractional coordinates, are Tl at (0.000, 0.000, 0.000), Tl at (0.164, 0.500, 0.356), Cd at (0.148, 0.500, 0.782), Cd at (0.305, 0.000, 0.118), Cd at (0.332, 0.000, 0.684) and Cd at (0.459, 0.500, 0.462).

***

19.
A geometry-optimized LaHg2Cl structure, computed with PBEsol.

The energy is -0.10785 hartree per atom. As for the total magnetic moment: 0.0 μB/f.u. The calculation puts the formation energy from raw total energies at -0.813 eV/atom. The energy relative to the lowest polymorph listed for this composition comes out at 74 meV per atom.

It has space group I-4m2 (No. 119), with a = 4.814 Å, b = 4.814 Å, c = 8.311 Å, α = 90.00°, β = 90.00° and γ = 90.00°. The distinct sites, in fractional coordinates, are La at (0.000, 0.000, 0.000), Hg at (0.000, 0.000, 0.500), Hg at (0.000, 0.500, 0.750) and Cl at (0.000, 0.500, 0.250).

***

20.
A geometry-optimized OsClO2 structure, computed with PBEsol.

The energy is -0.23390 hartree per atom. As for the total magnetic moment: 0.0 μB/f.u. The calculation puts the formation energy from raw total energies at -0.184 eV/atom.

It has space group Fd-3m (No. 227, origin choice 2), with a = 8.366 Å, b = 8.366 Å, c = 8.366 Å, α = 90.00°, β = 90.00° and γ = 90.00°. The distinct sites, in fractional coordinates, are Os at (0.125, 0.125, 0.125), Cl at (0.125, 0.125, 0.625) and O at (0.000, 0.000, 0.000).

***

21.
A geometry-optimized NiHgTe2 structure, computed with PBEsol.

The energy is -0.13240 hartree per atom. As for the total magnetic moment: 0.0 μB/f.u. The calculation puts the formation energy from raw total energies at -0.159 eV/atom.

It has space group R-3m (No. 166, hexagonal axes), with a = 3.8054 Å, b = 3.8054 Å, c = 21.7788 Å, α = 90.00°, β = 90.00° and γ = 120.00°. The distinct sites, in fractional coordinates, are Ni at (0.0000, 0.0000, 0.0000), Hg at (0.0000, 0.0000, 0.5000) and Te at (0.0000, 0.0000, 0.2720).

***

22.
A geometry-optimized Ce3ZrO8 structure, computed with PBEsol.

The energy is -0.34356 hartree per atom. As for the total magnetic moment: 0.0 μB/f.u. The calculation puts the formation energy from raw total energies at -3.443 eV/atom. The energy relative to the lowest polymorph listed for this composition comes out at 6 meV per atom.

It has space group P4/mmm (No. 123), with a = 3.752 Å, b = 3.752 Å, c = 10.665 Å, α = 90.00°, β = 90.00° and γ = 90.00°. The distinct sites, in fractional coordinates, are Ce at (0.000, 0.000, 0.000), Ce at (0.500, 0.500, 0.256), Zr at (0.000, 0.000, 0.500), O at (0.000, 0.500, 0.128) and O at (0.000, 0.500, 0.384).

***

23.
A geometry-optimized AlMoBr2 structure, computed with PBEsol.

The energy is -0.16662 hartree per atom. As for the total magnetic moment: 1.1 μB/f.u. The calculation puts the formation energy from raw total energies at 0.366 eV/atom. The energy relative to the lowest polymorph listed for this composition comes out at 342 meV per atom.

It has space group Cmmm (No. 65), with a = 3.076 Å, b = 5.776 Å, c = 9.525 Å, α = 90.00°, β = 90.00° and γ = 90.00°. The distinct sites, in fractional coordinates, are Al at (0.000, 0.000, 0.000), Mo at (0.000, 0.000, 0.500) and Br at (0.000, 0.500, 0.285).

***

24.
A geometry-optimized CdInRe structure, computed with PBEsol.

The energy is -0.16499 hartree per atom. As for the total magnetic moment: 1.9 μB/f.u. The energy relative to the lowest polymorph listed for this composition comes out at 755 meV per atom. The formation enthalpy at 0 K is 1.35 eV per atom.

It has space group F-43m (No. 216), with a = 6.333 Å, b = 6.333 Å, c = 6.333 Å, α = 90.00°, β = 90.00° and γ = 90.00°. The distinct sites, in fractional coordinates, are Cd at (0.000, 0.000, 0.000), In at (0.250, 0.250, 0.250) and Re at (0.250, 0.250, 0.750).

***

25.
A geometry-optimized SrMo2Au structure, computed with PBEsol.

The energy is -0.24298 hartree per atom. As for the total magnetic moment: 0.0 μB/f.u. The energy relative to the lowest polymorph listed for this composition comes out at 98 meV per atom. The formation enthalpy at 0 K is 0.71 eV per atom.

It has space group P4/mmm (No. 123), with a = 3.649 Å, b = 3.649 Å, c = 6.794 Å, α = 90.00°, β = 90.00° and γ = 90.00°. The distinct sites, in fractional coordinates, are Sr at (0.000, 0.000, 0.000), Mo at (0.500, 0.500, 0.344) and Au at (0.000, 0.000, 0.500).

***

26.
A geometry-optimized TlHg2Ru structure, computed with PBEsol.

The energy is -0.11262 hartree per atom. As for the total magnetic moment: 1.0 μB/f.u. The energy relative to the lowest polymorph listed for this composition comes out at 0 meV per atom. The formation enthalpy at 0 K is 0.42 eV per atom.

It has space group P4/mmm (No. 123), with a = 3.057 Å, b = 3.057 Å, c = 8.862 Å, α = 90.00°, β = 90.00° and γ = 90.00°. The distinct sites, in fractional coordinates, are Tl at (0.000, 0.000, 0.000), Hg at (0.500, 0.500, 0.297) and Ru at (0.000, 0.000, 0.500).

***

27.
A geometry-optimized AlTeMoN2 structure, computed with PBEsol.

The energy is -0.22635 hartree per atom. As for the total magnetic moment: 0.9 μB/f.u. The calculation puts the formation energy from raw total energies at 1.128 eV/atom.

It has space group P4/mmm (No. 123), with a = 3.830 Å, b = 3.830 Å, c = 5.392 Å, α = 90.00°, β = 90.00° and γ = 90.00°. The distinct sites, in fractional coordinates, are Al at (0.000, 0.000, 0.000), Te at (0.000, 0.000, 0.500), Mo at (0.500, 0.500, 0.500) and N at (0.000, 0.500, 0.000).